# 1
An optimized crystal structure of Cd2PdPbO6. Source: Alexandria via LeMat-Bulk, functional PBE.

The structure in POSCAR format:
```
Cd2PdPbO6
1.0
5.680 0.000 0.000
0.000 5.680 0.000
0.000 0.000 4.732
Cd Pd Pb O
2 1 1 6
direct
0.000 0.500 0.000
0.500 0.000 0.000
0.000 0.000 0.651
0.500 0.500 0.584
0.000 0.000 0.244
0.241 0.241 0.746
0.241 0.759 0.746
0.500 0.500 0.144
0.759 0.241 0.746
0.759 0.759 0.746
```

Properties
symmetry	P4mm, No. 99
energy relative to the elements, uncorrected	-0.47	eV per atom
magnetization	0.00	μB/cell
uncorrected energy	-4.5201	eV/atom

# 2
An optimized crystal structure of CePrSi. Source: Alexandria via LeMat-Bulk, functional PBE.

The structure in POSCAR format:
```
CePrSi
1.0
4.668 0.000 0.000
-2.334 4.042 0.000
0.000 0.000 4.160
Ce Pr Si
1 1 1
direct
0.000 0.000 0.000
0.667 0.333 0.411
0.333 0.667 0.720
```

Properties
symmetry	P3m1, No. 156
energy relative to the elements, uncorrected	-0.23	eV per atom
offset from the most stable computed form	292	meV per atom
magnetization	0.71	μB/cell
uncorrected energy	-5.6105	eV/atom